A geometry-optimized Cs2AgI structure. Source: Alexandria via LeMat-Bulk, functional GGA-PBE.

Cell: 5.3689 5.3689 28.3348 Å, 90.00 90.00 120.00°
Space group R3m (No. 160, hexagonal axes)
One atom of each set of equivalent atoms:
Cs 0.0000 0.0000 0.0000 x3
Cs 0.0000 0.0000 0.1696 x3
Ag 0.0000 0.0000 0.5847 x3
I 0.0000 0.0000 0.7516 x3

Summary:
Crystal system   trigonal
Formation energy from raw total energies   -709 meV/atom
Distance to the lowest polymorph of the same formula   31.3 meV per atom

***

A geometry-optimized Nd5Sm2Er3 structure. Source: Alexandria via LeMat-Bulk, functional GGA-PBE.

Cell: 10.826 15.010 9.994 Å, 90.00 122.58 90.00°
Space group C2/c (No. 15)
One atom of each set of equivalent atoms:
Nd 0.000 0.024 0.250 x4
Nd 0.000 0.230 0.250 x4
Nd 0.000 0.271 0.750 x4
Nd 0.241 0.122 0.735 x8
Sm 0.150 0.378 0.556 x8
Er 0.000 0.479 0.750 x4
Er 0.158 0.124 0.055 x8

Summary:
Crystal system   monoclinic
Formation energy from the elements   0.18 eV/atom
Distance to the lowest polymorph of the same formula   0.0 meV per atom

***

A geometry-optimized Zr2TaRe structure. Source: Alexandria via LeMat-Bulk, functional GGA-PBE.

Cell: 6.697 6.697 6.697 Å, 90.00 90.00 90.00°
Space group F-43m (No. 216)
One atom of each set of equivalent atoms:
Zr 0.000 0.000 0.000 x4
Zr 0.250 0.250 0.250 x4
Ta 0.250 0.250 0.750 x4
Re 0.000 0.000 0.500 x4

Summary:
Crystal system   cubic
Formation energy from the elements   -0.04 eV/atom
Distance to the lowest polymorph of the same formula   88.1 meV per atom

***

A geometry-optimized Hf6AlN2 structure. Source: Alexandria via LeMat-Bulk, functional GGA-PBE.

Cell: 10.889 4.384 7.757 Å, 90.00 118.31 90.00°
Space group C2/m (No. 12)
One atom of each set of equivalent atoms:
Hf 0.026 0.000 0.191 x4
Hf 0.166 0.500 0.567 x4
Hf 0.194 0.500 0.083 x4
Al 0.000 0.000 0.500 x2
N 0.184 0.000 0.083 x4

Summary:
Crystal system   monoclinic
Formation energy from raw total energies   -596 meV/atom

***

A geometry-optimized Hf3Be2B4 structure. Source: Alexandria via LeMat-Bulk, functional GGA-PBE.

Cell: 8.968 3.277 6.689 Å, 90.00 98.44 90.00°
Space group C2/m (No. 12)
One atom of each set of equivalent atoms:
Hf 0.000 0.000 0.000 x2
Hf 0.164 0.500 0.669 x4
Be 0.112 0.500 0.278 x4
B 0.053 0.000 0.397 x4
B 0.224 0.500 0.050 x4

Summary:
Crystal system   monoclinic
Formation energy from the elements   -0.76 eV/atom

***

A geometry-optimized AgSe5 structure. Source: Alexandria via LeMat-Bulk, functional GGA-PBE.

Cell: 6.643 17.647 6.525 Å, 90.00 93.76 90.00°
Space group Cc (No. 9)
One atom of each set of equivalent atoms:
Ag 0.000 0.019 0.000 x4
Se 0.204 0.182 0.637 x4
Se 0.212 0.406 0.910 x4
Se 0.251 0.371 0.562 x4
Se 0.264 0.054 0.735 x4
Se 0.350 0.306 0.129 x4

Summary:
Crystal system   monoclinic
Formation energy from raw total energies   67 meV/atom
Distance to the lowest polymorph of the same formula   0.0 meV per atom

***

Quick rundown of DOS at the Fermi energy, same order as above: 0.000; 72.918; 18.748; 10.114; 4.745; 15.933 states/eV/cell
Quick rundown of calculated total energy, same order as above: -26.83; -180.52; -166.30; -170.96; -141.76; -79.48 eV/cell